No. 1
{"formula": "MgPaInCu", "functional": "PBE", "state": "relaxed", "formation_energy_kj_per_mol_fu": 35, "sg": "F-43m", "cell": [[-0.8229, -1.2739, -4.7336], [2.6838, -3.6169, -2.1029], [-2.1191, -4.3682, -1.0658]], "species": ["Mg", "Cu", "In", "Pa"], "fractional_positions": [[0.5000, 0.5000, 0.5000], [0.2500, 0.2500, 0.2500], [0.7500, 0.7500, 0.7500], [0.0000, 0.0000, 0.0000]]}

=====

No. 2
{"formula": "Ce2ReSi", "functional": "PBE", "state": "relaxed", "e_form_raw_ev_per_atom": -0.186, "relative_energy_mev_per_atom": 0, "sg": "P4/mmm", "cell": [[4.1229, 0.0000, 0.0000], [0.0000, 4.4430, 0.0000], [0.0000, 0.0000, 4.4430]], "species": ["Ce", "Ce", "Si", "Re"], "fractional_positions": [[0.0000, 0.0000, 0.5000], [0.0000, 0.5000, 0.0000], [0.5000, 0.5000, 0.5000], [0.5000, 0.0000, 0.0000]]}

=====

No. 3
{"formula": "La8Hg2Ru", "functional": "PBE", "state": "relaxed", "formation_energy_kj_per_mol_fu": -184, "relative_energy_mev_per_atom": 64, "sg": "Immm", "cell": [[5.7359, 0.0002, -1.7454], [-1.1118, 6.4319, -3.6531], [-0.4404, 0.5993, 8.8475]], "species": ["La", "La", "La", "La", "La", "La", "Ru", "La", "La", "Hg", "Hg"], "fractional_positions": [[0.8559, 0.8561, 0.7122], [0.6319, 0.8668, 0.2640], [0.0000, 0.7295, 0.9999], [0.0000, 0.2705, 0.0001], [0.3681, 0.1332, 0.7360], [0.6319, 0.3972, 0.2641], [0.5000, 0.0000, 0.0000], [0.3681, 0.6028, 0.7359], [0.1441, 0.1439, 0.2878], [0.8065, 0.3066, 0.6134], [0.1935, 0.6934, 0.3866]]}

=====

No. 4
{"formula": "Zr8Sc2Os", "functional": "PBE", "state": "relaxed", "formation_energy_kj_per_mol_fu": -90, "sg": "C2/m", "cell": [[-0.4272, 0.5091, -4.9003], [-4.9978, -3.1527, 0.1081], [-4.5600, 6.5676, 3.5751]], "species": ["Zr", "Zr", "Zr", "Zr", "Zr", "Zr", "Zr", "Sc", "Os", "Zr", "Sc"], "fractional_positions": [[0.4137, 0.4188, 0.8275], [0.3450, 0.9121, 0.6900], [0.6550, 0.0879, 0.3100], [0.1560, 0.8336, 0.3120], [0.9620, 0.7454, 0.9241], [0.0380, 0.2546, 0.0759], [0.5863, 0.5812, 0.1725], [0.2234, 0.3408, 0.4468], [0.5000, 0.0000, 0.0000], [0.8440, 0.1664, 0.6880], [0.7766, 0.6592, 0.5532]]}

=====

No. 5
{"formula": "InSb2Au", "functional": "PBE", "state": "relaxed", "e_form_raw_ev_per_atom": 0.095, "sg": "Cmmm", "cell": [[3.5394, -0.0032, 0.0000], [-0.8347, 3.4396, 0.0000], [0.0000, 0.0000, 8.5045]], "species": ["Sb", "In", "Sb", "Au"], "fractional_positions": [[0.0000, 0.0000, 0.4651], [0.5000, 0.5000, 0.7500], [0.0000, 0.0000, 0.0349], [0.5000, 0.5000, 0.2500]]}

=====

No. 6
{"formula": "CaAl3Rh", "functional": "PBE", "state": "relaxed", "formation_energy_kj_per_mol_fu": -196, "sg": "Pm-3m", "cell": [[-2.1866, 2.1374, 3.6113], [-4.0058, -2.2764, -1.0781], [1.2503, -3.5554, 2.8613]], "species": ["Al", "Ca", "Al", "Al", "Rh"], "fractional_positions": [[0.0000, 0.0000, 0.5000], [0.5000, 0.5000, 0.5000], [0.5000, 0.0000, 0.0000], [0.0000, 0.5000, 0.0000], [0.0000, 0.0000, 0.0000]]}

=====

No. 7
{"formula": "La3Sm4Er3", "functional": "PBE", "state": "relaxed", "formation_energy_kj_per_mol_fu": 80, "sg": "Amm2", "cell": [[-0.0733, -2.4044, -2.9360], [9.4646, 0.8406, -0.9245], [1.2745, -7.3354, 5.9755]], "species": ["Sm", "La", "La", "La", "Er", "Er", "Sm", "Er", "Sm", "Sm"], "fractional_positions": [[0.0000, 0.3770, 0.6230], [0.0000, 0.9956, 0.4926], [0.5000, 0.1712, 0.8288], [0.0000, 0.5074, 0.0044], [0.5000, 0.8283, 0.1717], [0.5000, 0.6710, 0.6686], [0.0000, 0.1237, 0.1321], [0.5000, 0.3314, 0.3290], [0.0000, 0.8679, 0.8763], [0.0000, 0.6266, 0.3734]]}

=====

No. 8
{"formula": "Li2CuRuS", "functional": "PBE", "state": "relaxed", "e_form_raw_ev_per_atom": 0.027, "sg": "P4/mmm", "cell": [[4.3326, 0.0000, 0.0000], [0.0000, 4.3601, 0.0000], [0.0000, 0.0000, 4.3326]], "species": ["Li", "Li", "Ru", "S", "Cu"], "fractional_positions": [[0.0000, 0.0000, 0.5000], [0.5000, 0.0000, 0.0000], [0.0000, 0.5000, 0.0000], [0.0000, 0.0000, 0.0000], [0.5000, 0.5000, 0.5000]]}

=====

No. 9
{"formula": "CaScCu2", "functional": "PBE", "state": "relaxed", "formation_energy_kj_per_mol_fu": -8, "relative_energy_mev_per_atom": 154, "sg": "Cm", "cell": [[-0.6304, -3.9680, -3.5979], [1.6743, -2.0194, -4.7123], [3.3920, -3.3487, 1.1596]], "species": ["Ca", "Cu", "Sc", "Cu"], "fractional_positions": [[0.2711, 0.2711, 0.1946], [0.0306, 0.0306, 0.0045], [0.4751, 0.4751, 0.5738], [0.7232, 0.7232, 0.7270]]}

=====

No. 10
{"formula": "ZrOsRu", "functional": "PBE", "state": "relaxed", "formation_energy_kj_per_mol_fu": 85, "relative_energy_mev_per_atom": 637, "sg": "F-43m", "cell": [[-1.0223, -4.0258, 1.2916], [2.8307, -2.3120, 2.3583], [-0.8078, -0.7976, 4.1990]], "species": ["Os", "Ru", "Zr"], "fractional_positions": [[0.7500, 0.7500, 0.7500], [0.0000, 0.0000, 0.0000], [0.5000, 0.5000, 0.5000]]}

=====

No. 11
{"formula": "CdRu2NO", "functional": "PBE", "state": "relaxed", "e_form_raw_ev_per_atom": 0.679, "sg": "P4/mmm", "cell": [[3.8440, 0.0000, 0.0000], [0.0000, 5.1378, 0.0000], [0.0000, 0.0000, 3.8440]], "species": ["Ru", "N", "Cd", "Ru", "O"], "fractional_positions": [[0.0000, 0.0000, 0.5000], [0.0000, 0.0000, 0.0000], [0.0000, 0.5000, 0.0000], [0.5000, 0.0000, 0.0000], [0.5000, 0.5000, 0.5000]]}

=====

No. 12
{"formula": "Cs2CdPd", "functional": "PBE", "state": "relaxed", "formation_energy_kj_per_mol_fu": -43, "relative_energy_mev_per_atom": 0, "sg": "Cm", "cell": [[-4.6063, -1.3832, 0.5776], [-1.0184, -4.5691, 1.2489], [-1.4350, 0.5588, 10.2072]], "species": ["Cd", "Pd", "Cs", "Cs"], "fractional_positions": [[0.1359, 0.8986, 0.8296], [0.4693, 0.2324, 0.8290], [0.8874, 0.6484, 0.5767], [0.7177, 0.4826, 0.0820]]}

=====

| no. | size of the total moment (μB/cell) |
| --- | --- |
| 1 | 0.47 |
| 2 | 0.00 |
| 3 | 0.00 |
| 4 | 0.00 |
| 5 | 0.00 |
| 6 | 0.00 |
| 7 | 0.00 |
| 8 | 0.00 |
| 9 | 0.00 |
| 10 | 0.00 |
| 11 | 2.19 |
| 12 | 0.00 |